[1]
Hf2GeTeN | PBE | optimized geometry

Unit cell a=4.3770 b=5.0625 c=4.3770 alpha=90.00 beta=90.00 gamma=90.00
With the nearest neighbours (Å) after each atom.
Fractional positions:
Te1 0.0000 0.5000 0.0000  2 N 2.53
Hf1 0.5000 0.0000 0.0000  2 N 2.19
N1 0.0000 0.0000 0.0000  4 Hf 2.19
Ge1 0.5000 0.5000 0.5000  4 Te 3.09, 8 Hf 3.35
Hf2 0.0000 0.0000 0.5000  2 N 2.19

Calculated values
Theoretical density ... 9.78 Mg/m³
Formation energy from raw total energies ... -0.1034 eV/atom
SG ... P4/mmm, No. 123

=====

[2]
MnNi5Ge | PBE | optimized geometry

Unit cell a=6.0738 b=6.0738 c=6.0172 alpha=68.86 beta=68.86 gamma=91.03
With the nearest neighbours (Å) after each atom.
Fractional positions:
Ni1 0.5851 0.1891 0.9865  2 Mn 2.38-2.64, 6 Ni 2.40-2.49
Ni2 0.1714 0.4112 0.1762  2 Mn 2.36-2.45, 4 Ni 2.38-2.49, 1 Ge 2.46
Ni3 0.8109 0.4149 0.5135  2 Mn 2.38-2.64, 6 Ni 2.40-2.49
Ni4 0.1891 0.5851 0.4865  2 Mn 2.38-2.64, 6 Ni 2.40-2.49
Mn1 0.5358 0.4642 0.2500  7 Ni 2.32-2.45
Ni5 0.4149 0.8109 0.0135  2 Mn 2.38-2.64, 6 Ni 2.40-2.49
Ni6 0.8286 0.5888 0.8238  2 Mn 2.36-2.45, 4 Ni 2.38-2.49, 1 Ge 2.46
Ge1 0.0000 0.0000 0.0000  4 Ni 2.27-2.46
Mn2 0.4642 0.5358 0.7500  7 Ni 2.32-2.45
Ni7 0.4112 0.1714 0.6762  2 Mn 2.36-2.45, 4 Ni 2.38-2.49, 1 Ge 2.46
Ni8 0.5888 0.8286 0.3238  2 Mn 2.36-2.45, 4 Ni 2.38-2.49, 1 Ge 2.46
Ni9 0.1966 0.8034 0.7500  2 Ge 2.27, 1 Mn 2.32, 4 Ni 2.38-2.42
Ge2 0.0000 0.0000 0.5000  4 Ni 2.27-2.46
Ni10 0.8034 0.1966 0.2500  2 Ge 2.27, 1 Mn 2.32, 4 Ni 2.38-2.42

Calculated values
ΔH_f (0 K) ... 0.260 eV/atom
E above lowest polymorph ... 0.371 eV/atom
Theoretical density ... 7.35 Mg/m³
SG ... C2/c, No. 15

=====

[3]
Al2ReSe | PBE | optimized geometry

Unit cell a=3.2700 b=3.2700 c=5.8844 alpha=90.00 beta=90.00 gamma=90.00
With the nearest neighbours (Å) after each atom.
Fractional positions:
Re1 0.5000 0.5000 0.2500  8 Al 2.66, 2 Se 2.94
Al1 0.0000 0.0000 0.0258  1 Al 2.64, 4 Re 2.66, 4 Se 2.83
Al2 0.0000 0.0000 0.4742  1 Al 2.64, 4 Re 2.66, 4 Se 2.83
Se1 0.5000 0.5000 0.7500  8 Al 2.83, 2 Re 2.94

Calculated values
Theoretical density ... 8.42 Mg/m³
Formation energy from raw total energies ... -0.0607 eV/atom
SG ... P4/mmm, No. 123

=====

[4]
KYTa | PBE | optimized geometry

Unit cell a=9.4082 b=9.4078 c=3.1952 alpha=80.23 beta=80.22 gamma=19.55
With the nearest neighbours (Å) after each atom.
Fractional positions:
Ta1 0.3130 0.3130 0.6870  4 Y 3.08, 4 Ta 3.20
K1 0.9888 0.9888 0.0112  4 K 3.20
Y1 0.6982 0.6982 0.3018  4 Ta 3.08, 4 Y 3.20

Calculated values
ΔH_f (0 K) ... 0.725 eV/atom
E above lowest polymorph ... 0.000 eV/atom
Theoretical density ... 5.50 Mg/m³
SG ... I4mm, No. 107

=====

[5]
MgTi3Pb | PBE | optimized geometry

Unit cell a=4.8108 b=4.8108 c=4.8108 alpha=90.00 beta=90.00 gamma=90.00
With the nearest neighbours (Å) after each atom.
Fractional positions:
Ti1 0.0000 0.5000 0.0000  2 Mg 2.41
Ti2 0.0000 0.0000 0.5000  2 Mg 2.41
Ti3 0.5000 0.0000 0.0000  2 Mg 2.41
Mg1 0.0000 0.0000 0.0000  6 Ti 2.41
Pb1 0.5000 0.5000 0.5000  12 Ti 3.40

Calculated values
ΔH_f (0 K) ... 0.998 eV/atom
E above lowest polymorph ... 0.000 eV/atom
Theoretical density ... 5.59 Mg/m³
SG ... Pm-3m, No. 221

=====

[6]
Tm3Tl2Te6 | PBE | optimized geometry

Unit cell a=7.5131 b=7.5102 c=8.5622 alpha=81.52 beta=72.86 gamma=59.99
With the nearest neighbours (Å) after each atom.
Fractional positions:
Tm1 0.0000 0.0000 0.0000  6 Te 3.04-3.05
Tm2 0.3314 0.3373 0.0000  6 Te 3.04-3.06
Te1 0.5947 0.3326 0.2142  3 Tm 3.04-3.05
Te2 0.2630 0.0000 0.2107  3 Tm 3.04-3.06
Te3 0.7370 0.0000 0.7893  3 Tm 3.04-3.06
Tl1 0.1659 0.6683 0.5000  6 Te 3.43-3.44
Tm3 0.6686 0.6627 0.0000  6 Te 3.04-3.06
Te4 0.9273 0.6674 0.2142  3 Tm 3.04-3.05
Te5 0.4053 0.6674 0.7858  3 Tm 3.04-3.05
Te6 0.0727 0.3326 0.7858  3 Tm 3.04-3.05
Tl2 0.8341 0.3317 0.5000  6 Te 3.43-3.44

Calculated values
Theoretical density ... 6.98 Mg/m³
Formation energy from raw total energies ... -1.0295 eV/atom
SG ... C2/m, No. 12

=====

[7]
GaCuSe2 | PBE | optimized geometry

Unit cell a=4.0217 b=4.0225 c=6.5606 alpha=90.02 beta=89.99 gamma=119.99
With the nearest neighbours (Å) after each atom.
Fractional positions:
Cu1 0.7358 0.4962 0.6691  4 Se 2.39-2.51
Ga1 0.4028 0.8286 0.2174  4 Se 2.38-2.56
Se1 0.7361 0.4952 0.0517  1 Cu 2.51, 3 Ga 2.56
Se2 0.4026 0.8294 0.5807  1 Ga 2.38, 3 Cu 2.39

Calculated values
Theoretical density ... 5.26 Mg/m³
Formation energy from raw total energies ... -0.4067 eV/atom
SG ... P3m1, No. 156

=====

[8]
LiAlP2 | PBE | optimized geometry

Unit cell a=4.3651 b=4.3651 c=4.3651 alpha=60.00 beta=60.00 gamma=60.00
With the nearest neighbours (Å) after each atom.
Fractional positions:
P1 0.7500 0.7500 0.7500  4 Al 2.67, 4 P 2.67
P2 0.0000 0.0000 0.0000  4 Li 2.67, 4 P 2.67
Li1 0.2500 0.2500 0.2500  4 P 2.67, 4 Al 2.67
Al1 0.5000 0.5000 0.5000  4 P 2.67, 4 Li 2.67

Calculated values
ΔH_f (0 K) ... 0.192 eV/atom
Theoretical density ... 2.71 Mg/m³
SG ... F-43m, No. 216

=====

[9]
ZnInAu2 | PBE | optimized geometry

Unit cell a=8.8288 b=8.8288 c=8.8288 alpha=21.07 beta=21.07 gamma=21.07
With the nearest neighbours (Å) after each atom.
Fractional positions:
Zn1 0.7447 0.7447 0.7447  3 Au 2.66, 3 In 2.94
Au1 0.0045 0.0045 0.0045  3 Zn 2.66, 3 Au 2.90
Au2 0.2519 0.2519 0.2519  9 Au 2.90-3.23, 3 In 2.91
In1 0.4990 0.4990 0.4990  3 Au 2.91, 3 Zn 2.94, 6 In 3.23

Calculated values
ΔH_f (0 K) ... -0.026 eV/atom
Theoretical density ... 12.24 Mg/m³
SG ... R3m, No. 160

=====

[10]
HoMgZn | PBE | optimized geometry

Unit cell a=4.7294 b=4.7294 c=4.7294 alpha=60.00 beta=60.00 gamma=60.00
With the nearest neighbours (Å) after each atom.
Fractional positions:
Ho1 0.0000 0.0000 0.0000  4 Zn 2.90
Mg1 0.5000 0.5000 0.5000  4 Zn 2.90
Zn1 0.2500 0.2500 0.2500  4 Ho 2.90, 4 Mg 2.90

Calculated values
ΔH_f (0 K) ... -0.054 eV/atom
Theoretical density ... 5.65 Mg/m³
SG ... F-43m, No. 216

=====

[11]
CdIn | PBE | optimized geometry

Unit cell a=4.2796 b=4.2796 c=4.2796 alpha=60.00 beta=60.00 gamma=60.00
With the nearest neighbours (Å) after each atom.
Fractional positions:
Cd1 0.0000 0.0000 0.0000  6 In 3.03
In1 0.5000 0.5000 0.5000  6 Cd 3.03

Calculated values
ΔH_f (0 K) ... 0.128 eV/atom
Theoretical density ... 6.81 Mg/m³
SG ... Fm-3m, No. 225